The following is a PBE-GGA calculation of a geometry-optimized Ba2AuO structure, from Alexandria via LeMat-Bulk.

Cell lengths 6.4079, 6.0029, 7.7499 Å; angles 112.79, 90.00, 90.00 degrees
Last column: nearest neighbours and their distance in Å.
Fractional positions:
1 Ba 0.2500 0.4753 0.2902  2 O 2.52
2 Ba 0.7500 0.6851 0.7098  2 O 2.52
3 Au 0.7500 0.3751 0.0000  6 Ba 3.43-3.83
4 O 0.0000 0.3750 0.5000  4 Ba 2.52
5 Ba 0.7500 0.0650 0.2902  2 O 2.52
6 Au 0.2500 0.8751 0.0000  6 Ba 3.43-3.83
7 O 0.5000 0.3750 0.5000  4 Ba 2.52
8 Ba 0.2500 0.2748 0.7098  2 O 2.52


The following is a PBE-GGA calculation of a geometry-optimized Ba3AuO structure, from Alexandria via LeMat-Bulk.

Cell lengths 4.8151, 9.0645, 9.0588 Å; angles 73.87, 89.32, 89.32 degrees
Last column: nearest neighbours and their distance in Å.
Fractional positions:
1 Au 0.4834 0.7305 0.1690  6 Ba 3.32-3.59
2 Ba 0.5230 0.2632 0.3211  1 O 2.56
3 O 0.7423 0.2870 0.0563  4 Ba 2.56-2.59
4 Ba 0.9618 0.6412 0.4611  1 O 2.56
5 O 0.7423 0.6174 0.7259  4 Ba 2.56-2.59
6 Ba 0.9618 0.0224 0.0798  1 O 2.56
7 Ba 0.9503 0.5598 0.9988  2 O 2.59
8 Ba 0.5229 0.8820 0.7024  1 O 2.56
9 Au 0.0014 0.1738 0.6133  6 Ba 3.32-3.59
10 Ba 0.5344 0.3446 0.7834  2 O 2.59

Excess energy over the best structure of this formula in the dataset ... 0.000 eV per atom


What energy relative to the elements, uncorrected values result from the calculations? In sequence: -143.3 -116.8 kJ/mol of atoms.
What uncorrected energy values result from the calculations? In sequence: -36.04 -40.11 eV/cell.
What total magnetization values result from the calculations? In sequence: 0.0 0.0 μB/cell.